Run w
## TaOsPb2 (PBEsol)

Data for a relaxed structure of TaOsPb2.

Cell lengths 3.2422, 4.7286, 5.2106 Å; angles 90.00, 90.00, 90.00 degrees
With the nearest neighbours (Å) after each atom.
Space group Pmmm (No. 47)
Symmetry-distinct sites (fractional):
Ta 0.0000 0.0000 0.0000 (multiplicity 1)  4 Pb 2.87, 4 Os 3.07
Os 0.5000 0.0000 0.5000 (multiplicity 1)  4 Pb 2.87, 4 Ta 3.07
Pb 0.0000 0.5000 0.5000 (multiplicity 1)  4 Os 2.87, 4 Pb 3.07
Pb 0.5000 0.5000 0.0000 (multiplicity 1)  4 Ta 2.87, 4 Pb 3.07

- N(E_F) (states/eV/f.u.) = 3.8

---

Run x
## TaOsPb2 (PBEsol)

Data for a relaxed structure of TaOsPb2.

Cell lengths 6.7634, 6.7634, 6.7634 Å; angles 90.00, 90.00, 90.00 degrees
With the nearest neighbours (Å) after each atom.
Space group Fm-3m (No. 225)
Symmetry-distinct sites (fractional):
Ta 0.0000 0.0000 0.0000 (multiplicity 4)  8 Pb 2.93
Os 0.0000 0.0000 0.5000 (multiplicity 4)  8 Pb 2.93
Pb 0.2500 0.2500 0.2500 (multiplicity 8)  4 Ta 2.93, 4 Os 2.93

- N(E_F) (states/eV/f.u.) = 3.7

---

Stability summary - winner: run w; margin: 14 meV per atom.

---

Run w
## ZrOsPb2 (PBEsol)

Data for a relaxed structure of ZrOsPb2.

Cell lengths 3.2930, 5.1539, 9.9780 Å; angles 90.00, 90.00, 90.00 degrees
With the nearest neighbours (Å) after each atom.
Space group Immm (No. 71)
Symmetry-distinct sites (fractional):
Zr 0.0000 0.0000 0.0000 (multiplicity 2)  4 Os 3.06, 8 Pb 3.21-3.41, 2 Zr 3.29
Os 0.0000 0.0000 0.5000 (multiplicity 2)  4 Pb 2.78, 4 Zr 3.06
Pb 0.0000 0.5000 0.2240 (multiplicity 4)  2 Os 2.78, 4 Pb 3.10

- N(E_F) (states/eV/f.u.) = 2.8

---

Run x
## ZrOsPb2 (PBEsol)

Data for a relaxed structure of ZrOsPb2.

Cell lengths 6.9430, 6.9430, 6.9430 Å; angles 90.00, 90.00, 90.00 degrees
With the nearest neighbours (Å) after each atom.
Space group F-43m (No. 216)
Symmetry-distinct sites (fractional):
Zr 0.0000 0.0000 0.0000 (multiplicity 4)  4 Pb 3.01, 4 Os 3.01
Os 0.2500 0.2500 0.2500 (multiplicity 4)  4 Zr 3.01, 4 Pb 3.01
Pb 0.0000 0.0000 0.5000 (multiplicity 4)  4 Pb 3.01, 4 Os 3.01
Pb 0.2500 0.2500 0.7500 (multiplicity 4)  4 Zr 3.01, 4 Pb 3.01

---

Run y
## ZrOsPb2 (PBEsol)

Data for a relaxed structure of ZrOsPb2.

Cell lengths 3.2905, 5.5224, 9.3669 Å; angles 90.00, 90.00, 90.00 degrees
With the nearest neighbours (Å) after each atom.
Space group Cmmm (No. 65)
Symmetry-distinct sites (fractional):
Zr 0.0000 0.0000 0.0000 (multiplicity 2)  4 Pb 3.00, 6 Zr 3.21-3.29
Os 0.0000 0.0000 0.5000 (multiplicity 2)  4 Pb 2.72
Pb 0.0000 0.5000 0.2683 (multiplicity 4)  2 Os 2.72, 2 Zr 3.00

- N(E_F) (states/eV/f.u.) = 3.4

---

Stability summary - winner: run x; margin: 26 meV per atom.

---

Run w
## OsPt2 (PBEsol)

Data for a relaxed structure of OsPt2.

Cell lengths 2.7359, 2.7359, 11.7287 Å; angles 90.00, 90.00, 90.00 degrees
With the nearest neighbours (Å) after each atom.
Space group I4/mmm (No. 139)
Symmetry-distinct sites (fractional):
Os 0.0000 0.0000 0.0000 (multiplicity 2)  8 Pt 2.70, 4 Os 2.74
Pt 0.0000 0.0000 0.3399 (multiplicity 4)  4 Os 2.70, 8 Pt 2.74-2.86

- N(E_F) (states/eV/f.u.) = 3.1

---

Run x
## OsPt2 (PBEsol)

Data for a relaxed structure of OsPt2.

Cell lengths 4.3974, 4.3974, 5.3729 Å; angles 90.00, 90.00, 120.00 degrees
With the nearest neighbours (Å) after each atom.
Space group P6_3/mmc (No. 194)
Symmetry-distinct sites (fractional):
Os 0.3333 0.6667 0.2500 (multiplicity 2)  5 Pt 2.54-2.69
Pt 0.0000 0.0000 0.0000 (multiplicity 2)  8 Pt 2.69-2.87, 6 Os 2.87
Pt 0.3333 0.6667 0.7500 (multiplicity 2)  5 Os 2.54-2.69

- N(E_F) (states/eV/f.u.) = 4.2

---

Stability summary - winner: run w; margin: 356 meV per atom.

---

Run w
## OsPt2 (PBEsol)

Data for a relaxed structure of OsPt2.

Cell lengths 2.7460, 2.7460, 6.7068 Å; angles 90.00, 90.00, 120.00 degrees
With the nearest neighbours (Å) after each atom.
Space group P-3m1 (No. 164)
Symmetry-distinct sites (fractional):
Os 0.0000 0.0000 0.0000 (multiplicity 1)  6 Pt 2.70, 6 Os 2.75
Pt 0.3333 0.6667 0.6746 (multiplicity 2)  3 Os 2.70, 9 Pt 2.75-2.83

- N(E_F) (states/eV/f.u.) = 3.4

---

Run x
## OsPt2 (PBEsol)

Data for a relaxed structure of OsPt2.

Cell lengths 4.4262, 4.4262, 2.6272 Å; angles 90.00, 90.00, 120.00 degrees
With the nearest neighbours (Å) after each atom.
Space group P6/mmm (No. 191)
Symmetry-distinct sites (fractional):
Os 0.0000 0.0000 0.0000 (multiplicity 1)  2 Os 2.63, 12 Pt 2.87
Pt 0.3333 0.6667 0.5000 (multiplicity 2)  5 Pt 2.56-2.63

- N(E_F) (states/eV/f.u.) = 3.7

---

Stability summary - winner: run w; margin: 282 meV per atom.